VASP calculation (PBE+U) on a geometry-optimized Mg6VZnO8 structure.

For the total energy, the calculation gives -6.015 eV per atom. The crystal system is tetragonal. Its space-group type is No. 123.

```
16
Lattice="4.297 0.000 0.000 0.000 4.297 0.000 0.000 0.000 8.571" Properties=species:S:1:pos:R:3 pbc="T T T"
Mg 0.000 0.000 0.000
Mg 0.000 0.000 4.286
Mg 0.000 2.149 2.131
Mg 0.000 2.149 6.440
Mg 2.149 0.000 2.131
Mg 2.149 0.000 6.440
V 2.149 2.149 4.286
Zn 2.149 2.149 0.000
O 0.000 0.000 2.142
O 0.000 0.000 6.429
O 0.000 2.149 0.000
O 0.000 2.149 4.286
O 2.149 0.000 0.000
O 2.149 0.000 4.286
O 2.149 2.149 2.120
O 2.149 2.149 6.452
```